## CsAcCd (PBE)

Data for a geometry-optimized CsAcCd structure.

The structure in extended XYZ format:
```
3
Lattice="-0.787 -5.364 2.257 -1.567 -0.617 5.626 -5.406 -1.851 1.356" Properties=species:S:1:pos:R:3 pbc="T T T"
Cs -5.820 -5.874 6.930
Cd -1.940 -1.958 2.310
Ac 0.000 0.000 0.000
```

Output
ΔE to the lowest computed polymorph (kJ/mol of formula units): 0.0
SG: F-43m, No. 216
Magnetization (μB per formula unit): 0.0